The following is a DFT calculation (GGA-PBE) of a geometry-optimized Fe2CoTcRu structure.

Output
Size of the total moment in μB per cell: 6.022
Energy relative to the elements in eV per formula unit: 8.5
V in Å³/f.u.: 88
Crystal system: tetragonal

Unit cell a=4.388 b=4.594 c=4.388 alpha=90.00 beta=90.00 gamma=90.00
Each line ends with the local moment (μB).
Element x y z (fractional)
Ru  0.000  0.500  0.000  0.48
Co  0.500  0.500  0.500  2.06
Tc  0.000  0.000  0.000  -0.23
Fe  0.000  0.000  0.500  1.96
Fe  0.500  0.000  0.000  1.84

***

The following is a DFT calculation (GGA-PBE) of a geometry-optimized FeCoTeRu2 structure.

Output
Raw total energy in eV/atom: -6.4034
Size of the total moment in μB per cell: 6.636
V in Å³/f.u.: 89
Crystal system: tetragonal

Unit cell a=4.538 b=4.306 c=4.538 alpha=90.00 beta=90.00 gamma=90.00
Each line ends with the local moment (μB).
Element x y z (fractional)
Ru  0.000  0.000  0.500  1.03
Ru  0.500  0.000  0.000  0.83
Te  0.500  0.500  0.500  0.03
Co  0.000  0.000  0.000  1.47
Fe  0.000  0.500  0.000  3.13

***

The following is a DFT calculation (GGA-PBE) of a geometry-optimized FeCoTe2Ru structure.

Output
Raw total energy in eV/atom: -5.0114
Size of the total moment in μB per cell: 2.158
V in Å³/f.u.: 105
Crystal system: tetragonal

Unit cell a=4.897 b=4.375 c=4.897 alpha=90.00 beta=90.00 gamma=90.00
Each line ends with the local moment (μB).
Element x y z (fractional)
Ru  0.000  0.500  0.000  0.22
Te  0.000  0.000  0.500  0.01
Te  0.500  0.000  0.000  -0.01
Co  0.500  0.500  0.500  1.98
Fe  0.000  0.000  0.000  -0.01

***

The following is a DFT calculation (GGA-PBE) of a geometry-optimized VFeCoRu structure.

Output
Size of the total moment in μB per cell: 1.149
Energy relative to the elements in eV per formula unit: -0.4
V in Å³/f.u.: 48
Crystal system: orthorhombic

Unit cell a=3.593 b=3.691 c=3.647 alpha=90.00 beta=90.00 gamma=90.00
Each line ends with the local moment (μB).
Element x y z (fractional)
V  0.000  0.500  0.500  -0.38
Fe  0.000  0.000  0.000  1.75
Co  0.500  0.000  0.500  -0.29
Ru  0.500  0.500  0.000  0.08

***

The following is a DFT calculation (GGA-PBE) of a geometry-optimized Fe2CoS4 structure.

Output
Raw total energy in eV/atom: -5.5466
Size of the total moment in μB per cell: 6.391
V in Å³/f.u.: 117
Crystal system: tetragonal

Unit cell a=4.606 b=4.606 c=6.400 alpha=68.91 beta=68.91 gamma=90.00
Each line ends with the local moment (μB).
Element x y z (fractional)
S  0.202  0.202  0.597  0.05
S  0.798  0.798  0.403  0.05
S  0.000  0.500  0.000  0.10
S  0.500  0.000  0.000  0.10
Co  0.000  0.000  0.000  -0.24
Fe  0.392  0.392  0.217  2.95
Fe  0.608  0.608  0.783  2.95

***

The following is a DFT calculation (GGA-PBE) of a geometry-optimized FeCo3S8 structure.

Output
Raw total energy in eV/atom: -5.6151
Size of the total moment in μB per cell: 3.030
V in Å³/f.u.: 164
Crystal system: trigonal

Unit cell a=5.475 b=5.475 c=5.475 alpha=90.00 beta=90.00 gamma=90.00
Each line ends with the local moment (μB).
Element x y z (fractional)
Fe  0.000  0.000  0.000  0.20
Co  0.500  0.500  0.000  0.83
Co  0.000  0.500  0.500  0.83
Co  0.500  0.000  0.500  0.83
S  0.888  0.113  0.381  0.03
S  0.381  0.888  0.113  0.03
S  0.113  0.381  0.888  0.03
S  0.612  0.612  0.612  0.04
S  0.112  0.887  0.619  0.03
S  0.619  0.112  0.887  0.03
S  0.887  0.619  0.112  0.03
S  0.388  0.388  0.388  0.04

***

The following is a DFT calculation (GGA-PBE) of a geometry-optimized FeCoS3 structure.

Output
Size of the total moment in μB per cell: 0.000
Relative energy among the computed polymorphs in kcal/mol of atoms: 0.00
V in Å³/f.u.: 67
Crystal system: orthorhombic

Unit cell a=3.286 b=4.617 c=8.936 alpha=90.00 beta=100.59 gamma=90.00
Element x y z (fractional)
Fe  0.827  0.528  0.653
Fe  0.173  0.028  0.347
Co  0.476  0.021  0.951
Co  0.524  0.521  0.049
S  0.712  0.326  0.423
S  0.288  0.826  0.577
S  0.945  0.718  0.890
S  0.055  0.218  0.110
S  0.633  0.738  0.266
S  0.367  0.238  0.734

***

The following is a DFT calculation (GGA-PBE) of a geometry-optimized FeCo3S structure.

Output
Size of the total moment in μB per cell: 8.924
Relative energy among the computed polymorphs in kcal/mol of atoms: 20.54
V in Å³/f.u.: 81
Crystal system: cubic

Unit cell a=4.327 b=4.327 c=4.327 alpha=90.00 beta=90.00 gamma=90.00
Each line ends with the local moment (μB).
Element x y z (fractional)
S  0.500  0.500  0.500  0.24
Co  0.000  0.500  0.000  2.15
Co  0.000  0.000  0.500  2.23
Co  0.500  0.000  0.000  1.65
Fe  0.000  0.000  0.000  2.59

***

The following is a DFT calculation (GGA-PBE) of a geometry-optimized Fe4Co2S structure.

Output
Raw total energy in eV/atom: -6.8952
Size of the total moment in μB per cell: 12.644
V in Å³/f.u.: 97
Crystal system: tetragonal

Unit cell a=4.062 b=4.062 c=6.566 alpha=71.98 beta=71.98 gamma=90.00
Each line ends with the local moment (μB).
Element x y z (fractional)
S  0.000  0.000  0.000  -0.01
Co  0.623  0.623  0.754  1.67
Co  0.377  0.377  0.246  1.67
Fe  0.812  0.812  0.376  2.79
Fe  0.188  0.188  0.624  2.79
Fe  0.000  0.500  0.000  1.97
Fe  0.500  0.000  0.000  1.97

***

The following is a DFT calculation (GGA-PBE) of a geometry-optimized FeCoS structure.

Output
Raw total energy in eV/atom: -6.4353
Size of the total moment in μB per cell: 5.416
V in Å³/f.u.: 42
Crystal system: tetragonal

Unit cell a=2.705 b=2.705 c=11.545 alpha=96.73 beta=96.73 gamma=90.00
Each line ends with the local moment (μB).
Element x y z (fractional)
S  0.327  0.327  0.653  -0.04
S  0.673  0.673  0.347  -0.04
Fe  0.122  0.122  0.244  0.96
Fe  0.878  0.878  0.756  0.96
Co  0.548  0.548  0.096  1.85
Co  0.452  0.452  0.904  1.85

***

The following is a DFT calculation (GGA-PBE) of a geometry-optimized FeCo2S structure.

Output
Size of the total moment in μB per cell: 7.915
Relative energy among the computed polymorphs in kcal/mol of atoms: 5.58
V in Å³/f.u.: 63
Crystal system: tetragonal

Unit cell a=5.195 b=5.195 c=5.960 alpha=64.17 beta=64.17 gamma=90.00
Each line ends with the local moment (μB).
Element x y z (fractional)
S  0.500  0.500  0.000  -0.02
S  0.250  0.750  0.500  -0.02
Co  0.594  0.125  0.250  0.55
Co  0.156  0.625  0.250  0.52
Co  0.375  0.406  0.750  0.58
Co  0.875  0.844  0.750  0.63
Fe  0.000  0.000  0.000  2.78
Fe  0.750  0.250  0.500  2.78

***

The following is a DFT calculation (GGA-PBE) of a geometry-optimized FeCo5S8 structure.

Output
Raw total energy in eV/atom: -5.9194
Size of the total moment in μB per cell: 1.177
V in Å³/f.u.: 203
Crystal system: cubic

Unit cell a=6.593 b=6.593 c=6.593 alpha=60.00 beta=60.00 gamma=60.00
Each line ends with the local moment (μB).
Element x y z (fractional)
Fe  0.250  0.250  0.250  1.61
Co  0.000  0.000  0.000  -0.44
Co  0.626  0.626  0.121  -0.01
Co  0.626  0.626  0.626  -0.01
Co  0.121  0.626  0.626  -0.01
Co  0.626  0.121  0.626  -0.01
S  0.383  0.851  0.383  -0.02
S  0.851  0.383  0.383  -0.02
S  0.383  0.383  0.383  -0.02
S  0.383  0.383  0.851  -0.02
S  0.868  0.868  0.397  0.00
S  0.397  0.868  0.868  0.00
S  0.868  0.868  0.868  0.00
S  0.868  0.397  0.868  0.00